A plane-wave DFT calculation with PBE was carried out for a relaxed structure of Th2MgIn8.

Results
density: 7967 kg/m3
total DFT energy (no corrections): -40.8 eV/f.u.
space-group type: No. 123
ΔE_f: -0.22 eV/atom
magnetic moment: 0.00 Bohr magnetons per cell

Lattice parameters (Å, degrees): 4.8716 4.8716 12.3558 90.00 90.00 90.00
With the nearest neighbours (Å) after each atom.
Sites, in units of the cell vectors:
Th1 0.0000 0.0000 0.1863  12 In 3.33-3.44
Th2 0.0000 0.0000 0.8137  12 In 3.33-3.44
Mg1 0.0000 0.0000 0.5000  8 In 2.92
In1 0.0000 0.5000 0.0000  8 In 3.34-3.44, 4 Th 3.35
In2 0.0000 0.5000 0.3699  2 Mg 2.92, 1 In 3.21
In3 0.0000 0.5000 0.6301  2 Mg 2.92, 1 In 3.21
In4 0.5000 0.0000 0.0000  8 In 3.34-3.44, 4 Th 3.35
In5 0.5000 0.0000 0.3699  2 Mg 2.92, 1 In 3.21
In6 0.5000 0.0000 0.6301  2 Mg 2.92, 1 In 3.21
In7 0.5000 0.5000 0.1855  8 In 3.34, 4 Th 3.44
In8 0.5000 0.5000 0.8145  8 In 3.34, 4 Th 3.44